Here is Al2P2Ru after structural relaxation from Alexandria via LeMat-Bulk. Energies are from PBE.

a b c (Å): 6.4023 6.4023 6.4023
angles (deg): 147.26 147.26 46.99
Closest atoms and distances in Å follow each position.
Atoms (fractional coordinates):
Al 0.2500 0.7500 0.5000  4 P 2.52, 4 Al 2.55
Al 0.7500 0.2500 0.5000  4 P 2.52, 4 Al 2.55
P 0.1006 0.1006 0.0000  1 P 2.36, 4 Al 2.52
P 0.8994 0.8994 0.0000  1 P 2.36, 4 Al 2.52
Ru 0.5000 0.5000 0.0000  8 P 2.81

Values from the calculation:
Relative energy among the computed polymorphs (meV/atom): 512

***

Here is AlPRu2 after structural relaxation from Alexandria via LeMat-Bulk. Energies are from PBE.

a b c (Å): 2.7939 2.7939 8.2154
angles (deg): 90.00 90.00 116.51
Closest atoms and distances in Å follow each position.
Atoms (fractional coordinates):
Al 0.0000 0.0000 0.0000  2 Ru 2.46, 2 P 2.62
P 0.5000 0.5000 0.7365  2 Ru 2.31
Ru 0.0000 0.0000 0.5197  2 P 2.31
Ru 0.5000 0.5000 0.2398  2 Al 2.46, 2 Ru 2.73

Values from the calculation:
Relative energy among the computed polymorphs (meV/atom): 729

***

Here is Al2PRu after structural relaxation from Alexandria via LeMat-Bulk. Energies are from PBE.

a b c (Å): 4.7816 4.7816 4.3590
angles (deg): 116.88 116.88 39.88
Closest atoms and distances in Å follow each position.
Atoms (fractional coordinates):
Al 0.2389 0.2389 0.2388  2 P 2.49, 2 Ru 2.63, 4 Al 2.73
Al 0.7611 0.7611 0.7612  2 P 2.49, 2 Ru 2.63, 4 Al 2.73
P 0.5000 0.5000 0.0000  4 Al 2.49, 4 Ru 2.72
Ru 0.0000 0.0000 0.5000  8 Al 2.63-2.89, 4 P 2.72

Values from the calculation:
Final energy (eV per atom): -5.792

***

Here is AlP2Ru after structural relaxation from Alexandria via LeMat-Bulk. Energies are from PBE.

a b c (Å): 2.9073 2.9073 7.1259
angles (deg): 90.00 90.00 90.00
Closest atoms and distances in Å follow each position.
Atoms (fractional coordinates):
Al 0.0000 0.0000 0.0000  4 P 2.59, 4 Ru 2.70
P 0.0000 0.0000 0.5723  4 Ru 2.43
P 0.5000 0.5000 0.2216  4 Al 2.59
Ru 0.5000 0.5000 0.7548  4 P 2.43, 4 Al 2.70

Values from the calculation:
Final energy (eV per atom): -6.090

***

Here is Al2PRu after structural relaxation from Alexandria via LeMat-Bulk. Energies are from PBE.

a b c (Å): 7.9890 7.9890 7.9890
angles (deg): 21.21 21.21 21.21
Closest atoms and distances in Å follow each position.
Atoms (fractional coordinates):
Al 0.2473 0.2473 0.2473  3 Ru 2.54, 3 P 2.63
Al 0.7527 0.7527 0.7527  3 Ru 2.54, 3 P 2.63
P 0.0000 0.0000 0.0000  6 Al 2.63, 6 P 2.94
Ru 0.5000 0.5000 0.5000  6 Al 2.54

Values from the calculation:
Final energy (eV per atom): -5.740

***

Here is Al2PRu after structural relaxation from Alexandria via LeMat-Bulk. Energies are from PBE.

a b c (Å): 4.4851 4.4851 2.9745
angles (deg): 90.00 90.00 110.92
Closest atoms and distances in Å follow each position.
Atoms (fractional coordinates):
Al 0.0000 0.5000 0.0000  2 Al 2.54, 4 Ru 2.69, 4 P 2.69
Al 0.5000 0.0000 0.0000  2 Al 2.54, 4 Ru 2.69, 4 P 2.69
P 0.0000 0.0000 0.5000  2 Ru 2.54, 8 Al 2.69
Ru 0.5000 0.5000 0.5000  2 P 2.54, 8 Al 2.69

Values from the calculation:
Final energy (eV per atom): -5.815

***

Here is AlPRu2 after structural relaxation from Alexandria via LeMat-Bulk. Energies are from PBE.

a b c (Å): 2.9122 3.6249 5.4399
angles (deg): 90.00 104.69 90.00
Closest atoms and distances in Å follow each position.
Atoms (fractional coordinates):
Al 0.0000 0.0000 0.0000  8 Ru 2.69-2.76, 2 P 2.72, 2 Al 2.91
P 0.0000 0.0000 0.5000  4 Ru 2.29
Ru 0.3498 0.5000 0.7300  2 P 2.29
Ru 0.6502 0.5000 0.2700  2 P 2.29

Values from the calculation:
Relative energy among the computed polymorphs (meV/atom): 194

***

Here is Al2PRu after structural relaxation from Alexandria via LeMat-Bulk. Energies are from PBE.

a b c (Å): 5.9356 5.9356 5.9356
angles (deg): 152.09 139.70 49.73
Closest atoms and distances in Å follow each position.
Atoms (fractional coordinates):
Al 0.0000 0.0000 0.0000  4 Ru 2.50
Al 0.6949 0.1949 0.5000  2 Ru 2.71, 4 P 2.76, 4 Al 2.86-2.93
P 0.3035 0.8035 0.5000  2 Ru 2.39
Ru 0.4815 0.4815 0.0000  2 P 2.39, 4 Al 2.50

Values from the calculation:
Final energy (eV per atom): -5.846

***

Here is AlP2Ru after structural relaxation from Alexandria via LeMat-Bulk. Energies are from PBE.

a b c (Å): 7.0364 7.0364 7.0364
angles (deg): 26.06 26.06 26.06
Closest atoms and distances in Å follow each position.
Atoms (fractional coordinates):
Al 0.0000 0.0000 0.0000  6 P 2.53
P 0.2474 0.2474 0.2474  3 Ru 2.46, 3 Al 2.53
P 0.7526 0.7526 0.7526  3 Ru 2.46, 3 Al 2.53
Ru 0.5000 0.5000 0.5000  6 P 2.46

Values from the calculation:
Final energy (eV per atom): -6.067

***

Here is AlP2Ru after structural relaxation from Alexandria via LeMat-Bulk. Energies are from PBE.

a b c (Å): 4.6235 4.6235 4.6235
angles (deg): 131.21 131.21 71.48
Closest atoms and distances in Å follow each position.
Atoms (fractional coordinates):
Al 0.0000 0.0000 0.0000  4 Ru 2.68, 8 P 2.68-2.70
P 0.2500 0.7500 0.5000  4 Al 2.68, 4 P 2.68, 4 Ru 2.70
P 0.5000 0.5000 0.0000  4 Ru 2.68, 4 P 2.68, 4 Al 2.70
Ru 0.7500 0.2500 0.5000  4 Al 2.68, 8 P 2.68-2.70

Values from the calculation:
Final energy (eV per atom): -5.859

***

Here is AlPRu2 after structural relaxation from Alexandria via LeMat-Bulk. Energies are from PBE.

a b c (Å): 5.4922 5.4922 5.4922
angles (deg): 103.23 103.23 122.83
Closest atoms and distances in Å follow each position.
Atoms (fractional coordinates):
Al 0.0000 0.0000 0.0000  2 P 2.63, 8 Ru 2.85-2.88
Al 0.7500 0.2500 0.5000  2 P 2.63, 8 Ru 2.85-2.88
P 0.2500 0.7500 0.5000  4 Ru 2.20
P 0.5000 0.5000 0.0000  4 Ru 2.20
Ru 0.1962 0.6250 0.0712  2 P 2.20
Ru 0.3750 0.4462 0.5712  2 P 2.20
Ru 0.5538 0.1250 0.9288  2 P 2.20
Ru 0.8750 0.8038 0.4288  2 P 2.20

Values from the calculation:
Relative energy among the computed polymorphs (meV/atom): 444

***

Here is AlP2Ru after structural relaxation from Alexandria via LeMat-Bulk. Energies are from PBE.

a b c (Å): 3.7965 3.7965 5.9035
angles (deg): 105.27 105.27 47.53
Closest atoms and distances in Å follow each position.
Atoms (fractional coordinates):
Al 0.0000 0.0000 0.0000  6 P 2.51-2.73
P 0.2552 0.2552 0.7242  3 Ru 2.43-2.44, 2 Al 2.51
P 0.7448 0.7448 0.2758  3 Ru 2.43-2.44, 2 Al 2.51
Ru 0.5000 0.5000 0.5000  6 P 2.43-2.44

Values from the calculation:
Final energy (eV per atom): -6.117

***

Here is AlP3Ru after structural relaxation from Alexandria via LeMat-Bulk. Energies are from PBE.

a b c (Å): 4.5994 4.5994 4.5994
angles (deg): 90.00 90.00 90.00
Closest atoms and distances in Å follow each position.
Atoms (fractional coordinates):
Al 0.0000 0.0000 0.0000  12 P 3.25
P 0.0000 0.5000 0.5000  2 Ru 2.30
P 0.5000 0.0000 0.5000  2 Ru 2.30
P 0.5000 0.5000 0.0000  2 Ru 2.30
Ru 0.5000 0.5000 0.5000  6 P 2.30

Values from the calculation:
Relative energy among the computed polymorphs (meV/atom): 0

***

Here is Al2PRu after structural relaxation from Alexandria via LeMat-Bulk. Energies are from PBE.

a b c (Å): 5.5113 5.5113 5.5113
angles (deg): 103.33 103.33 122.62
Closest atoms and distances in Å follow each position.
Atoms (fractional coordinates):
Al 0.1034 0.1250 0.4784  2 P 2.41, 2 Ru 2.61, 2 Al 2.66
Al 0.3750 0.8966 0.0216  2 P 2.41, 2 Ru 2.61, 2 Al 2.66
Al 0.6466 0.6250 0.5216  2 P 2.41, 2 Ru 2.61, 2 Al 2.66
Al 0.8750 0.3534 0.9784  2 P 2.41, 2 Ru 2.61, 2 Al 2.66
P 0.0000 0.0000 0.0000  4 Al 2.41, 2 Ru 2.65
P 0.7500 0.2500 0.5000  4 Al 2.41, 2 Ru 2.65
Ru 0.2500 0.7500 0.5000  4 Al 2.61, 2 P 2.65
Ru 0.5000 0.5000 0.0000  4 Al 2.61, 2 P 2.65

Values from the calculation:
Final energy (eV per atom): -5.479

***

Here is AlPRu2 after structural relaxation from Alexandria via LeMat-Bulk. Energies are from PBE.

a b c (Å): 5.3233 5.3233 5.3233
angles (deg): 41.24 41.24 41.24
Closest atoms and distances in Å follow each position.
Atoms (fractional coordinates):
Al 0.0000 0.0000 0.0000  1 P 2.53, 6 Ru 2.60-2.63
P 0.1734 0.1734 0.1734  6 Ru 2.34-2.40, 1 Al 2.53
Ru 0.5683 0.5683 0.5683  3 P 2.34, 3 Al 2.60
Ru 0.7693 0.7693 0.7693  3 P 2.40, 3 Al 2.63

Values from the calculation:
Relative energy among the computed polymorphs (meV/atom): 242

***

Here is Al2PRu after structural relaxation from Alexandria via LeMat-Bulk. Energies are from PBE.

a b c (Å): 4.3125 4.3125 4.3125
angles (deg): 60.00 60.00 60.00
Closest atoms and distances in Å follow each position.
Atoms (fractional coordinates):
Al 0.0000 0.0000 0.0000  4 P 2.64, 4 Al 2.64
Al 0.2500 0.2500 0.2500  4 Ru 2.64, 4 Al 2.64
P 0.7500 0.7500 0.7500  4 Ru 2.64, 4 Al 2.64
Ru 0.5000 0.5000 0.5000  4 P 2.64, 4 Al 2.64

Values from the calculation:
Final energy (eV per atom): -5.584

***

Here is AlPRu2 after structural relaxation from Alexandria via LeMat-Bulk. Energies are from PBE.

a b c (Å): 4.1560 4.1560 4.9611
angles (deg): 100.54 100.54 40.57
Closest atoms and distances in Å follow each position.
Atoms (fractional coordinates):
Al 0.0000 0.0000 0.0000  6 Ru 2.55-2.60
P 0.5000 0.5000 0.5000  6 Ru 2.47-2.49
Ru 0.2461 0.2461 0.7297  3 P 2.47-2.49, 3 Al 2.55-2.60, 2 Ru 2.71
Ru 0.7539 0.7539 0.2703  3 P 2.47-2.49, 3 Al 2.55-2.60, 2 Ru 2.71

Values from the calculation:
Relative energy among the computed polymorphs (meV/atom): 227

***

Here is AlPRu2 after structural relaxation from Alexandria via LeMat-Bulk. Energies are from PBE.

a b c (Å): 4.3092 4.3092 4.3092
angles (deg): 60.00 60.00 60.00
Closest atoms and distances in Å follow each position.
Atoms (fractional coordinates):
Al 0.0000 0.0000 0.0000  4 Ru 2.64, 4 P 2.64
P 0.7500 0.7500 0.7500  4 Ru 2.64, 4 Al 2.64
Ru 0.2500 0.2500 0.2500  4 Ru 2.64, 4 Al 2.64
Ru 0.5000 0.5000 0.5000  4 Ru 2.64, 4 P 2.64

Values from the calculation:
Relative energy among the computed polymorphs (meV/atom): 700

***

Here is Al3PRu after structural relaxation from Alexandria via LeMat-Bulk. Energies are from PBE.

a b c (Å): 4.4979 4.4979 4.4979
angles (deg): 90.00 90.00 90.00
Closest atoms and distances in Å follow each position.
Atoms (fractional coordinates):
Al 0.0000 0.0000 0.5000  2 P 2.25
Al 0.0000 0.5000 0.0000  2 P 2.25
Al 0.5000 0.0000 0.0000  2 P 2.25
P 0.0000 0.0000 0.0000  6 Al 2.25
Ru 0.5000 0.5000 0.5000  12 Al 3.18

Values from the calculation:
Relative energy among the computed polymorphs (meV/atom): 434

***

Here is AlP2Ru after structural relaxation from Alexandria via LeMat-Bulk. Energies are from PBE.

a b c (Å): 4.2898 4.2898 4.2898
angles (deg): 60.00 60.00 60.00
Closest atoms and distances in Å follow each position.
Atoms (fractional coordinates):
Al 0.0000 0.0000 0.0000  4 Ru 2.63, 4 P 2.63
P 0.2500 0.2500 0.2500  4 Al 2.63, 4 P 2.63
P 0.5000 0.5000 0.5000  4 Ru 2.63, 4 P 2.63
Ru 0.7500 0.7500 0.7500  4 Al 2.63, 4 P 2.63

Values from the calculation:
Final energy (eV per atom): -5.719